FeRu2W, optimized geometry, DFT GGA-PBE; DFT total energy = -9.9248 eV per atom; E above lowest polymorph = 51 meV per atom; E_form = 0.067 eV/atom; DOS(E_F) = 1.25 states/eV/atom
1.0
-1.085 4.222 1.507
-2.943 -0.525 3.512
4.118 -1.933 -0.759
Ru Fe W
2 1 1
Cartesian
-2.014 1.848 2.510 Ru
0.000 0.000 0.000 Ru
0.510 2.069 1.629 Fe
-0.420 -0.305 2.631 W